## Ga3NiH (PBE)

Data for an optimized crystal structure of Ga3NiH.

Geometry as CIF:
```
data_Ga3NiH
_chemical_formula_sum 'Ga3 Ni1 H1'
_space_group_name_H-M_alt 'P 1'
_space_group_IT_number 1
_space_group_name_Hall 'P 1'
_cell_length_a 4.0618
_cell_length_b 4.0618
_cell_length_c 4.0618
_cell_angle_alpha 90.00
_cell_angle_beta 90.00
_cell_angle_gamma 90.00
loop_
_atom_site_label
_atom_site_fract_x
_atom_site_fract_y
_atom_site_fract_z
_atom_site_occupancy
Ni1 0.5000 0.5000 0.5000 1
Ga1 0.5000 0.0000 0.0000 1
Ga2 0.0000 0.5000 0.0000 1
H1 0.0000 0.0000 0.0000 1
Ga3 0.0000 0.0000 0.5000 1
```

Values from the calculation:
polymorph energy (0 for the lowest one): 0.40 eV per formula unit
calculated volume: 67.0 Å³/cell